Y2Er3Tm8: optimized geometry, PBE.

Unit cell a=10.813 b=10.813 c=5.500 alpha=90.00 beta=90.00 gamma=139.45
Fractional coordinates of all 13 atoms:
Y 0.241 0.759 0.000
Y 0.759 0.241 0.000
Er 0.000 0.000 0.000
Er 0.284 0.284 0.500
Er 0.716 0.716 0.500
Tm 0.131 0.869 0.500
Tm 0.178 0.394 0.000
Tm 0.337 0.663 0.500
Tm 0.394 0.178 0.000
Tm 0.606 0.822 0.000
Tm 0.663 0.337 0.500
Tm 0.822 0.606 0.000
Tm 0.869 0.131 0.500

Computed properties:
formation enthalpy at 0 K = 3.23 eV/f.u.
V = 418.0 Å³ per cell
magnetic moment = 0.0 Bohr magnetons per cell
distance to the lowest polymorph of the same formula = 0.021 eV/atom

***

LiNi2Sn: optimized geometry, PBE.

Unit cell a=3.862 b=3.862 c=3.623 alpha=90.00 beta=90.00 gamma=90.00
Fractional coordinates of all 4 atoms:
Li 0.000 0.000 0.000
Ni 0.000 0.500 0.500
Ni 0.500 0.000 0.500
Sn 0.500 0.500 0.000

Computed properties:
formation enthalpy at 0 K = -0.86 eV/f.u.
V = 54.0 Å³ per cell
magnetic moment = 0.0 Bohr magnetons per cell

***

ErMg2Co9: optimized geometry, PBE.

Unit cell a=8.344 b=8.344 c=8.344 alpha=33.95 beta=33.95 gamma=33.95
Fractional coordinates of all 12 atoms:
Er 0.000 0.000 0.000
Mg 0.143 0.143 0.143
Mg 0.857 0.857 0.857
Co 0.077 0.588 0.588
Co 0.336 0.336 0.336
Co 0.412 0.412 0.923
Co 0.412 0.923 0.412
Co 0.500 0.500 0.500
Co 0.588 0.077 0.588
Co 0.588 0.588 0.077
Co 0.664 0.664 0.664
Co 0.923 0.412 0.412

Computed properties:
formation enthalpy at 0 K = -1.05 eV/f.u.
V = 161.5 Å³ per cell
magnetic moment = 13.0 Bohr magnetons per cell

***

YCrSi2B6: optimized geometry, PBE.

Unit cell a=6.295 b=6.295 c=5.920 alpha=93.94 beta=93.94 gamma=100.54
Fractional coordinates of all 20 atoms:
Y 0.166 0.834 0.750
Y 0.834 0.166 0.250
Cr 0.486 0.514 0.750
Cr 0.514 0.486 0.250
Si 0.074 0.313 0.726
Si 0.313 0.074 0.226
Si 0.687 0.926 0.774
Si 0.926 0.687 0.274
B 0.172 0.520 0.249
B 0.238 0.345 0.440
B 0.262 0.494 0.993
B 0.345 0.238 0.940
B 0.480 0.828 0.251
B 0.494 0.262 0.493
B 0.506 0.738 0.507
B 0.520 0.172 0.749
B 0.655 0.762 0.060
B 0.738 0.506 0.007
B 0.762 0.655 0.560
B 0.828 0.480 0.751

Computed properties:
V = 229.3 Å³ per cell
magnetic moment = 0.0 Bohr magnetons per cell
E_form (uncorrected) = 33 kJ/mol of formula units

***

CeOsF: optimized geometry, PBE.

Unit cell a=3.137 b=3.137 c=9.942 alpha=90.00 beta=90.00 gamma=90.00
Fractional coordinates of all 6 atoms:
Ce 0.250 0.250 0.208
Ce 0.750 0.750 0.792
Os 0.250 0.250 0.571
Os 0.750 0.750 0.429
F 0.250 0.250 0.919
F 0.750 0.750 0.081

Computed properties:
V = 97.9 Å³ per cell
magnetic moment = 1.3 Bohr magnetons per cell
E_form (uncorrected) = -436 kJ/mol of formula units

***

Er4MgPd: optimized geometry, PBE.

Unit cell a=9.688 b=9.688 c=9.688 alpha=60.00 beta=60.00 gamma=60.00
Fractional coordinates of all 24 atoms:
Er 0.061 0.061 0.439
Er 0.061 0.439 0.061
Er 0.061 0.439 0.439
Er 0.183 0.183 0.817
Er 0.183 0.817 0.183
Er 0.183 0.817 0.817
Er 0.198 0.601 0.601
Er 0.439 0.061 0.061
Er 0.439 0.061 0.439
Er 0.439 0.439 0.061
Er 0.601 0.198 0.601
Er 0.601 0.601 0.198
Er 0.601 0.601 0.601
Er 0.817 0.183 0.183
Er 0.817 0.183 0.817
Er 0.817 0.817 0.183
Mg 0.509 0.830 0.830
Mg 0.830 0.509 0.830
Mg 0.830 0.830 0.509
Mg 0.830 0.830 0.830
Pd 0.394 0.394 0.394
Pd 0.394 0.394 0.819
Pd 0.394 0.819 0.394
Pd 0.819 0.394 0.394

Computed properties:
formation enthalpy at 0 K = -2.21 eV/f.u.
V = 642.9 Å³ per cell
magnetic moment = 0.0 Bohr magnetons per cell
distance to the lowest polymorph of the same formula = 0.000 eV/atom

***

UFe4Co: optimized geometry, PBE.

Unit cell a=4.867 b=4.867 c=4.867 alpha=60.00 beta=60.00 gamma=60.00
Fractional coordinates of all 6 atoms:
U 0.000 0.000 0.000
Fe 0.128 0.624 0.624
Fe 0.624 0.128 0.624
Fe 0.624 0.624 0.128
Fe 0.624 0.624 0.624
Co 0.250 0.250 0.250

Computed properties:
formation enthalpy at 0 K = 0.43 eV/f.u.
V = 81.5 Å³ per cell
magnetic moment = 8.5 Bohr magnetons per cell

***

MnBe2Tl: optimized geometry, PBE.

Unit cell a=8.216 b=8.216 c=8.216 alpha=20.91 beta=20.91 gamma=20.91
Fractional coordinates of all 4 atoms:
Mn 0.000 0.000 0.000
Be 0.263 0.263 0.263
Be 0.737 0.737 0.737
Tl 0.500 0.500 0.500

Computed properties:
formation enthalpy at 0 K = 2.87 eV/f.u.
V = 61.9 Å³ per cell
magnetic moment = 3.0 Bohr magnetons per cell
distance to the lowest polymorph of the same formula = 0.328 eV/atom

***

Pr4TlAg: optimized geometry, PBE.

Unit cell a=5.639 b=7.260 c=9.248 alpha=90.00 beta=97.35 gamma=90.00
Fractional coordinates of all 12 atoms:
Pr 0.177 0.250 0.056
Pr 0.212 0.750 0.379
Pr 0.308 0.517 0.726
Pr 0.308 0.983 0.726
Pr 0.692 0.017 0.274
Pr 0.692 0.483 0.274
Pr 0.788 0.250 0.621
Pr 0.823 0.750 0.944
Tl 0.234 0.250 0.415
Tl 0.766 0.750 0.585
Ag 0.339 0.750 0.056
Ag 0.661 0.250 0.944

Computed properties:
formation enthalpy at 0 K = -1.05 eV/f.u.
V = 375.5 Å³ per cell
magnetic moment = 0.0 Bohr magnetons per cell
distance to the lowest polymorph of the same formula = 0.004 eV/atom

***

Tb5Nd6Th2: optimized geometry, PBE.

Unit cell a=11.665 b=21.019 c=3.631 alpha=90.00 beta=90.00 gamma=90.00
Fractional coordinates of all 26 atoms:
Tb 0.000 0.000 0.000
Tb 0.068 0.292 0.000
Tb 0.184 0.582 0.000
Tb 0.316 0.082 0.000
Tb 0.432 0.792 0.000
Tb 0.500 0.500 0.000
Tb 0.568 0.208 0.000
Tb 0.684 0.918 0.000
Tb 0.816 0.418 0.000
Tb 0.932 0.708 0.000
Nd 0.069 0.145 0.500
Nd 0.083 0.438 0.500
Nd 0.182 0.876 0.000
Nd 0.318 0.376 0.000
Nd 0.417 0.938 0.500
Nd 0.431 0.645 0.500
Nd 0.569 0.355 0.500
Nd 0.583 0.062 0.500
Nd 0.682 0.624 0.000
Nd 0.818 0.124 0.000
Nd 0.917 0.562 0.500
Nd 0.931 0.855 0.500
Th 0.187 0.733 0.500
Th 0.313 0.233 0.500
Th 0.687 0.767 0.500
Th 0.813 0.267 0.500

Computed properties:
formation enthalpy at 0 K = 1.57 eV/f.u.
V = 890.2 Å³ per cell
magnetic moment = 0.0 Bohr magnetons per cell

***

Ba3TeSe2: optimized geometry, PBE.

Unit cell a=8.360 b=8.360 c=8.360 alpha=146.59 beta=131.67 gamma=60.03
Fractional coordinates of all 6 atoms:
Ba 0.000 0.000 0.000
Ba 0.324 0.324 0.000
Ba 0.676 0.676 0.000
Te 0.500 0.000 0.500
Se 0.165 0.665 0.500
Se 0.835 0.335 0.500

Computed properties:
V = 238.2 Å³ per cell
magnetic moment = 0.0 Bohr magnetons per cell
E_form (uncorrected) = -1128 kJ/mol of formula units

***

AcSmBi2: optimized geometry, PBE.

Unit cell a=8.518 b=8.518 c=8.518 alpha=31.79 beta=31.79 gamma=31.79
Fractional coordinates of all 4 atoms:
Ac 0.000 0.000 0.000
Sm 0.829 0.829 0.829
Bi 0.419 0.419 0.419
Bi 0.577 0.577 0.577

Computed properties:
formation enthalpy at 0 K = -3.34 eV/f.u.
V = 152.4 Å³ per cell
magnetic moment = 0.0 Bohr magnetons per cell
distance to the lowest polymorph of the same formula = 0.118 eV/atom

***

Which of these has the highest V? Tb5Nd6Th2